# 1
# FeCoSb4 (GGA-PBEsol, relaxed)
data_FeCoSb4
_chemical_formula_sum 'Fe4 Co4 Sb16'
_cell_length_a 8.401
_cell_length_b 8.401
_cell_length_c 8.401
_cell_angle_alpha 90.00
_cell_angle_beta 90.00
_cell_angle_gamma 90.00
_space_group_name_H-M_alt 'F -4 3 m'
_space_group_IT_number 216
_space_group_name_Hall 'F -4 2 3'
loop_
_atom_site_label
_atom_site_type_symbol
_atom_site_fract_x
_atom_site_fract_y
_atom_site_fract_z
_atom_site_occupancy
Fe1 Fe 0.000 0.000 0.000 1
Co1 Co 0.250 0.250 0.250 1
Sb1 Sb 0.125 0.125 0.625 1
# **V**: 593 Å³/cell
# **Energy relative to the elements, uncorrected**: 1.240 eV per atom
# **Energy above the lowest structure with this stoichiometry**: 1400 meV/atom


# 2
# FeCoSb (GGA-PBEsol, relaxed)
data_FeCoSb
_chemical_formula_sum 'Fe2 Co2 Sb2'
_cell_length_a 3.268
_cell_length_b 3.268
_cell_length_c 7.802
_cell_angle_alpha 90.00
_cell_angle_beta 90.00
_cell_angle_gamma 90.00
_space_group_name_H-M_alt 'I 4 m m'
_space_group_IT_number 107
_space_group_name_Hall 'I 4 -2'
loop_
_atom_site_label
_atom_site_type_symbol
_atom_site_fract_x
_atom_site_fract_y
_atom_site_fract_z
_atom_site_occupancy
Fe1 Fe 0.000 0.000 0.000 1
Co1 Co 0.000 0.000 0.657 1
Sb1 Sb 0.000 0.000 0.327 1
# **V**: 83 Å³/cell
# **Energy relative to the elements, uncorrected**: 0.209 eV per atom


- Look up the energy relative to the elements, uncorrected of the second one.
  0.209 eV per atom